1.
Here is crystalline NaLiMg6O7 at its relaxed geometry from Alexandria. Energies are from PBE.

Unit cell a=4.2984 b=4.2984 c=8.7020 alpha=90.00 beta=90.00 gamma=90.00
Last column: nearest neighbours and their distance in Å.
Positions (direct):
Na  0.0000  0.0000  0.0000  5 O 2.16-2.20
Li  0.5000  0.5000  0.0204  5 O 2.10-2.15
Mg  0.0000  0.0000  0.5254  1 O 1.93
Mg  0.0000  0.5000  0.2425  2 O 1.92-2.05
Mg  0.0000  0.5000  0.7861  5 O 2.05-2.18
Mg  0.5000  0.0000  0.2425  2 O 1.92-2.05
Mg  0.5000  0.0000  0.7861  5 O 2.05-2.18
Mg  0.5000  0.5000  0.5028  6 O 2.09-2.16
O  0.0000  0.0000  0.7470  1 Mg 1.93
O  0.0000  0.5000  0.0219  2 Mg 1.92-2.05, 2 Li 2.15
O  0.0000  0.5000  0.4780  5 Mg 2.05-2.19
O  0.5000  0.0000  0.0219  2 Mg 1.92-2.05, 2 Li 2.15
O  0.5000  0.0000  0.4780  5 Mg 2.05-2.19
O  0.5000  0.5000  0.2616  5 Mg 2.10-2.16, 1 Li 2.10
O  0.5000  0.5000  0.7432  5 Mg 2.09-2.18

Computed properties:
ΔE_f (raw) (eV per atom): -2.18
Symmetry: P4mm
DOS at the Fermi energy (states/eV/cell): 1.821
Crystal system: tetragonal

***

2.
Here is crystalline Na3Al at its relaxed geometry from Alexandria. Energies are from PBE.

Unit cell a=6.5874 b=6.5874 c=6.5874 alpha=151.64 beta=63.90 gamma=124.05
Last column: nearest neighbours and their distance in Å.
Positions (direct):
Na  0.0000  0.0000  0.0000  8 Na 3.23-3.53, 4 Al 3.39-3.59
Na  0.4421  0.6792  0.7629  9 Na 3.23-3.53, 3 Al 3.33-3.48
Na  0.9162  0.6792  0.2371  9 Na 3.23-3.53, 3 Al 3.33-3.48
Al  0.4818  0.9818  0.5000  2 Al 3.23, 10 Na 3.33-3.59

Computed properties:
Total energy (eV/atom): -1.75
Symmetry: Imm2
DOS at the Fermi energy (states/eV/cell): 1.480
Crystal system: orthorhombic

***

3.
Here is crystalline LiTc2 at its relaxed geometry from Alexandria. Energies are from PBE.

Unit cell a=4.1523 b=4.1523 c=2.4743 alpha=90.00 beta=90.00 gamma=90.00
Last column: nearest neighbours and their distance in Å.
Positions (direct):
Li  0.0000  0.0000  0.0000  8 Tc 2.42, 2 Li 2.47
Tc  0.0000  0.5000  0.5000  4 Li 2.42, 2 Tc 2.47
Tc  0.5000  0.0000  0.5000  4 Li 2.42, 2 Tc 2.47

Computed properties:
Total energy (eV/atom): -6.47
Symmetry: P4/mmm
DOS at the Fermi energy (states/eV/cell): 2.250
Crystal system: tetragonal